A plane-wave DFT calculation with GGA+U was carried out for a relaxed BaCoNO crystal.

Cell: 3.5502 6.1152 5.9234 Å, 90.00 90.00 90.00°
Element x y z (fractional)
Ba (0.0000, 0.2302, 0.0000)
Ba (0.0000, 0.7698, 0.5000)
Co (0.5000, 0.2231, 0.4985)
Co (0.5000, 0.7769, 0.9985)
N (0.0000, 0.3173, 0.4961)
N (0.0000, 0.6827, 0.9961)
O (0.5000, 0.0032, 0.7499)
O (0.5000, 0.9968, 0.2499)

The value obtained for the energy above the most stable polymorph in this dataset is 0.0 kJ per mole of atoms. The total magnetization is 2.95 μB/f.u.